The following is a PBE-GGA calculation of crystalline Pr2ScPbC at its relaxed geometry, from the Open Quantum Materials Database.

a = 5.207 Å, b = 5.207 Å, c = 4.619 Å
α = 90.00°, β = 90.00°, γ = 90.00°
Sites, in units of the cell vectors:
Pr (0.000, 0.500, 0.500)
Pr (0.500, 0.000, 0.500)
Sc (0.500, 0.500, 0.000)
Pb (0.000, 0.000, 0.000)
C (0.500, 0.500, 0.500)

Values from the calculation:
VASP energy: -30.97 eV/cell
Total magnetization: 0.0 μB/f.u.